Ac6CoO12: optimized geometry, GGA+U.

The theoretical density comes out at 8.071 Mg/m³. Its final energy is -7.36 eV/atom. The space group is R-3. The calculation puts the density of states at the Fermi level at 18.58 states/eV/cell. As for the spin magnetization: 0.17 μB/atom.

Lattice parameters (Å, degrees): 7.013 7.013 7.013 98.65 98.65 98.65
Fractional coordinates of all 19 atoms:
1 Ac 0.102 0.792 0.641
2 Ac 0.208 0.359 0.898
3 Ac 0.359 0.898 0.208
4 Ac 0.641 0.102 0.792
5 Ac 0.792 0.641 0.102
6 Ac 0.898 0.208 0.359
7 Co 0.500 0.500 0.500
8 O 0.050 0.903 0.323
9 O 0.097 0.677 0.950
10 O 0.226 0.439 0.530
11 O 0.323 0.050 0.903
12 O 0.439 0.530 0.226
13 O 0.470 0.774 0.561
14 O 0.530 0.226 0.439
15 O 0.561 0.470 0.774
16 O 0.677 0.950 0.097
17 O 0.774 0.561 0.470
18 O 0.903 0.323 0.050
19 O 0.950 0.097 0.677